# SrTl

Crystalline SrTl at its relaxed geometry (GGA-PBEsol, Alexandria via LeMat-Bulk).

Properties
- DOS(E_F): 1.307 states/eV/f.u.
- Final energy: -2.706 eV/atom
- V: 129.1 Å³/cell

abc: 4.023 5.664 5.667
angles: 90.00 89.99 90.00
Positions (direct):
Tl 0.500 0.250 0.756
Tl 0.500 0.750 0.244
Sr 0.000 0.750 0.747
Sr 0.000 0.250 0.253